1.
## ZnB2I (GGA-PBE)

Data for ZnB2I after structural relaxation.

**Symmetry**: I-42d
**DOS at the Fermi energy**: 4.072 states/eV per cell
**VASP energy**: -2.74 eV/atom
**Energy relative to the elements, uncorrected**: 5.2 eV per formula unit

```
ZnB2I
1.0
-4.938 0.512 1.644
0.416 -4.489 2.649
-0.597 0.633 6.327
Zn I B
2 2 4
Direct
0.500 0.500 0.000
0.250 0.750 0.500
0.000 0.000 0.000
0.750 0.250 0.500
0.875 0.827 0.750
0.173 0.625 0.250
0.375 0.423 0.750
0.577 0.125 0.250
```


2.
## SiSbW2 (GGA-PBE)

Data for SiSbW2 after structural relaxation.

**Symmetry**: Cmm2
**DOS at the Fermi energy**: 1.922 states/eV per cell
**VASP energy**: -8.43 eV/atom
**Energy relative to the elements, uncorrected**: 1.7 eV per formula unit

```
SiSbW2
1.0
-1.957 0.275 2.079
1.409 -2.465 0.415
6.394 4.566 5.416
Si Sb W
1 1 2
Direct
0.500 0.500 0.797
0.000 0.000 0.474
0.000 0.000 0.003
0.500 0.500 0.226
```


3.
## CaYTl (GGA-PBE)

Data for CaYTl after structural relaxation.

**Symmetry**: Pnma
**Energy of formation from the pure elements**: -15.08 kJ/mol of atoms
**DOS at the Fermi energy**: 13.806 states/eV per cell
**VASP energy**: -3.77 eV/atom

```
CaYTl
1.0
-5.262 -3.960 3.445
2.153 -3.991 -1.299
5.541 0.171 8.661
Y Ca Tl
4 4 4
Direct
0.890 0.250 0.106
0.390 0.250 0.394
0.610 0.750 0.606
0.110 0.750 0.894
0.866 0.250 0.424
0.634 0.750 0.924
0.134 0.750 0.576
0.366 0.250 0.076
0.865 0.250 0.762
0.365 0.250 0.738
0.135 0.750 0.238
0.635 0.750 0.262
```


4.
## SiAu2O (GGA-PBE)

Data for SiAu2O after structural relaxation.

**Symmetry**: I-42d
**DOS at the Fermi energy**: 0.328 states/eV per cell
**VASP energy**: -4.12 eV/atom
**Energy relative to the elements, uncorrected**: 0.5 eV per formula unit

```
SiAu2O
1.0
-2.644 0.418 -5.366
4.050 -3.782 -2.290
-1.585 -4.673 -2.934
Au O Si
4 2 2
Direct
0.875 0.864 0.750
0.614 0.125 0.250
0.136 0.625 0.250
0.375 0.386 0.750
0.500 0.500 0.000
0.250 0.750 0.500
0.000 0.000 0.000
0.750 0.250 0.500
```